Crystalline MnIn2PbO6 at its relaxed geometry. Source: the Alexandria database, functional PBE with a Hubbard U.

abc: 5.5668 5.5668 15.0302
angles: 90.00 90.00 120.00
Space group R3 (No. 146, hexagonal axes)
Inequivalent atoms, fractional coordinates:
Mn  0.0000  0.0000  0.0000
In  0.0000  0.0000  0.2049
In  0.0000  0.0000  0.6839
Pb  0.0000  0.0000  0.4674
O  0.0248  0.6764  0.6010
O  0.0904  0.3798  0.7516

Properties
- Raw total energy: -5.977 eV/atom